Record 1
ScCoSe2, relaxed, DFT PBE; VASP energy = -0.418 Ry/atom; ρ = 6589 kg/m3; crystal system = tetragonal; energy above the lowest structure with this stoichiometry = 1.08 eV per formula unit; formation energy without anion corrections = -227 kJ/mol of formula units
1.0
4.490 -0.002 -0.004
0.002 4.490 -0.004
0.004 0.004 3.272
Se Co Sc
2 1 1
direct
0.000 0.000 0.000 Se
0.500 0.500 0.000 Se
0.500 0.000 0.500 Co
0.000 0.500 0.500 Sc

Record 2
Cs6TlPb2, relaxed, DFT PBE; E_form = -0.8 eV/f.u.; VASP energy = -0.129 Ry/atom; ρ = 4359 kg/m3; crystal system = trigonal
1.0
6.812 0.000 1.870
3.150 6.041 1.870
0.058 0.035 13.131
Cs Pb Tl
6 2 1
direct
0.813 0.813 0.560 Cs
0.303 0.303 0.092 Cs
0.424 0.424 0.729 Cs
0.697 0.697 0.908 Cs
0.576 0.576 0.271 Cs
0.187 0.187 0.440 Cs
0.079 0.079 0.763 Pb
0.921 0.921 0.237 Pb
0.000 0.000 0.000 Tl